[1]
Here is a relaxed structure of AgSbIr2Pd from Alexandria via LeMat-Bulk. Energies are from GGA-PBE.

The structure belongs to space group P4/mmm (No. 123); the cell edges are 4.8763, 4.8763 and 4.9287 Å and the angles 90.00°, 90.00° and 90.00°. Symmetry generates all atoms from Ag at (0.0000, 0.0000, 0.0000), Sb at (0.0000, 0.0000, 0.5000), Ir at (0.0000, 0.5000, 0.0000) and Pd at (0.5000, 0.5000, 0.5000).

The distance to the lowest polymorph of the same formula comes out at 479.5 meV per atom. The uncorrected formation energy comes out at 1.9299 eV per atom. The volume is 117 Å³/cell. Its total energy is -20.24 eV per cell.

=====

[2]
Here is a relaxed structure of AgSbIr2Pd from Alexandria via LeMat-Bulk. Energies are from GGA-PBE.

The structure belongs to space group P4/mmm (No. 123); the cell edges are 4.8033, 4.8033 and 4.9041 Å and the angles 90.00°, 90.00° and 90.00°. Symmetry generates all atoms from Ag at (0.0000, 0.0000, 0.0000), Sb at (0.5000, 0.5000, 0.0000), Ir at (0.0000, 0.5000, 0.5000) and Pd at (0.0000, 0.0000, 0.5000).

The distance to the lowest polymorph of the same formula comes out at 0.0 meV per atom. The uncorrected formation energy comes out at 1.4505 eV per atom. The volume is 113 Å³/cell. Its total energy is -22.64 eV per cell.

=====

[3]
Here is a relaxed structure of AgIrPdSe5 from Alexandria via LeMat-Bulk. Energies are from GGA-PBE.

The structure belongs to space group C2/c (No. 15); the cell edges are 7.7343, 11.6259 and 7.9290 Å and the angles 90.00°, 100.10° and 90.00°. Symmetry generates all atoms from Ag at (0.0000, 0.0545, 0.2500), Ir at (0.0000, 0.4640, 0.2500), Pd at (0.2500, 0.2500, 0.0000), Se at (0.0000, 0.3202, 0.7500), Se at (0.0491, 0.2709, 0.4135) and Se at (0.2266, 0.4687, 0.0480).

The uncorrected formation energy comes out at -0.0170 eV per atom. The volume is 702 Å³/cell. Its total energy is -137.85 eV per cell.

=====

[4]
Here is a relaxed structure of AgSnIrPd from Alexandria via LeMat-Bulk. Energies are from GGA-PBE.

The structure belongs to space group F-43m (No. 216); the cell edges are 6.4677, 6.4677 and 6.4677 Å and the angles 90.00°, 90.00° and 90.00°. Symmetry generates all atoms from Ag at (0.0000, 0.0000, 0.0000), Sn at (0.0000, 0.0000, 0.5000), Ir at (0.2500, 0.2500, 0.7500) and Pd at (0.2500, 0.2500, 0.2500).

As for the formation energy: -0.087 eV per atom. The volume is 271 Å³/cell. Its total energy is -85.03 eV per cell.

=====

[5]
Here is a relaxed structure of ThAgIrPd from Alexandria via LeMat-Bulk. Energies are from GGA-PBE.

The structure belongs to space group F-43m (No. 216); the cell edges are 6.8400, 6.8400 and 6.8400 Å and the angles 90.00°, 90.00° and 90.00°. Symmetry generates all atoms from Th at (0.0000, 0.0000, 0.0000), Ag at (0.0000, 0.0000, 0.5000), Ir at (0.2500, 0.2500, 0.7500) and Pd at (0.2500, 0.2500, 0.2500).

As for the formation energy: -0.436 eV per atom. The volume is 320 Å³/cell. Its total energy is -104.27 eV per cell.

=====

[6]
Here is a relaxed structure of Tm4AgIr2Pd from Alexandria via LeMat-Bulk. Energies are from GGA-PBE.

The structure belongs to space group R-3m (No. 166, hexagonal axes); the cell edges are 4.8735, 4.8735 and 23.8185 Å and the angles 90.00°, 90.00° and 120.00°. Symmetry generates all atoms from Tm at (0.0000, 0.0000, 0.1231), Tm at (0.0000, 0.0000, 0.3732), Ag at (0.0000, 0.0000, 0.5000), Ir at (0.0000, 0.0000, 0.2493) and Pd at (0.0000, 0.0000, 0.0000).

As for the formation energy: -0.821 eV per atom. The volume is 490 Å³/cell. Its total energy is -150.65 eV per cell.

=====

[7]
Here is a relaxed structure of Tm4AgIrPd2 from Alexandria via LeMat-Bulk. Energies are from GGA-PBE.

The structure belongs to space group R-3m (No. 166, hexagonal axes); the cell edges are 4.9079, 4.9079 and 24.1021 Å and the angles 90.00°, 90.00° and 120.00°. Symmetry generates all atoms from Tm at (0.0000, 0.0000, 0.1197), Tm at (0.0000, 0.0000, 0.3706), Ag at (0.0000, 0.0000, 0.5000), Ir at (0.0000, 0.0000, 0.0000) and Pd at (0.0000, 0.0000, 0.2482).

As for the formation energy: -0.816 eV per atom. The volume is 503 Å³/cell. Its total energy is -139.54 eV per cell.

=====

[8]
Here is a relaxed structure of YAg2IrPd from Alexandria via LeMat-Bulk. Energies are from GGA-PBE.

The structure belongs to space group P4/mmm (No. 123); the cell edges are 4.9166, 4.9166 and 4.9016 Å and the angles 90.00°, 90.00° and 90.00°. Symmetry generates all atoms from Y at (0.0000, 0.0000, 0.0000), Ag at (0.0000, 0.5000, 0.5000), Ir at (0.5000, 0.5000, 0.0000) and Pd at (0.5000, 0.5000, 0.5000).

As for the formation energy: 0.560 eV per atom. The volume is 118 Å³/cell. Its total energy is -23.42 eV per cell.